Record 1
Entry from the Alexandria database: an optimized crystal structure of Li2YIr2 (PBEsol).

Values from the calculation:
M_tot ... 0.00 Bohr magnetons per cell
E above lowest polymorph ... 0 meV per atom
ΔH_f (0 K) ... -10 kJ per mole of atoms

Geometry as extended XYZ:
```
10
Lattice="-2.531 -0.531 -1.378 3.559 -1.467 -5.971 0.392 -6.831 1.912" Properties=species:S:1:pos:R:3 pbc="T T T"
Y 0.000 0.000 0.000
Y 1.976 -4.149 -2.030
Ir -0.335 -5.225 -0.489
Ir 1.495 -6.832 -3.230
Ir 1.754 -3.604 -4.949
Ir -0.075 -1.997 -2.208
Li 1.738 -6.655 -0.629
Li 3.408 -5.471 -4.151
Li 2.213 -1.644 -3.431
Li 0.543 -2.827 0.091
```


Record 2
Entry from the Alexandria database: an optimized crystal structure of LiY2Ir2 (PBEsol).

Values from the calculation:
M_tot ... 0.00 Bohr magnetons per cell
ΔH_f (0 K) ... -48 kJ per mole of atoms

Geometry as extended XYZ:
```
10
Lattice="3.775 0.000 0.000 0.000 7.319 0.000 0.000 0.000 7.319" Properties=species:S:1:pos:R:3 pbc="T T T"
Y 1.888 1.233 4.892
Y 1.888 4.892 6.087
Y 1.888 6.087 2.427
Y 1.888 2.427 1.233
Ir 0.000 2.703 6.363
Ir 0.000 6.363 4.616
Ir 0.000 4.616 0.957
Ir 0.000 0.957 2.703
Li 0.000 0.000 0.000
Li 0.000 3.660 3.660
```